No. 1
Computed, not measured: crystalline Pm4SmTh at its relaxed geometry at the PBE level of DFT.

```
Pm4SmTh
1.0
6.6265 0.0000 0.0000
3.3133 5.7387 0.0000
3.3133 1.9129 5.4105
Sm Th Pm
1 1 4
Direct
0.0000 0.0000 0.0000 Sm
0.2500 0.2500 0.2500 Th
0.6245 0.6245 0.1264 Pm
0.6245 0.1264 0.6245 Pm
0.6245 0.6245 0.6245 Pm
0.1264 0.6245 0.6245 Pm
```

## Properties
M_tot   1.5 Bohr magnetons per cell
D(E_F)   2.20 states/eV per atom
Offset from the most stable computed form   0.2930 eV per atom
Space group   F-43m
ΔE_f   0.321 eV per atom

---

No. 2
Computed, not measured: crystalline SmIr2O8 at its relaxed geometry at the PBE level of DFT.

```
SmIr2O8
1.0
5.0915 -0.1220 1.2459
0.6897 5.1949 2.8635
-0.1963 -0.0760 5.9681
Sm Ir O
1 2 8
Direct
0.0000 0.0000 0.0000 Sm
0.4965 0.2584 0.2584 Ir
0.5035 0.7416 0.7416 Ir
0.2961 0.6190 0.0838 O
0.7039 0.9162 0.3810 O
0.2617 0.1515 0.1515 O
0.7383 0.8485 0.8485 O
0.2961 0.0838 0.6190 O
0.7039 0.3810 0.9162 O
0.6834 0.3810 0.3810 O
0.3166 0.6190 0.6190 O
```

## Properties
M_tot   0.0 Bohr magnetons per cell
Raw formation energy   -1.0944 eV/atom
D(E_F)   0.53 states/eV per atom
Space group   C2/m

---

No. 3
Computed, not measured: crystalline GdCdGeAu at its relaxed geometry at the PBE level of DFT.

```
GdCdGeAu
1.0
4.9730 0.0000 0.0000
2.4865 4.3068 0.0000
2.4865 1.4356 4.0605
Ge Gd Au Cd
1 1 1 1
Direct
0.0000 0.0000 0.0000 Ge
0.7500 0.7500 0.7500 Gd
0.5000 0.5000 0.5000 Au
0.2500 0.2500 0.2500 Cd
```

## Properties
M_tot   7.0 Bohr magnetons per cell
D(E_F)   0.23 states/eV per atom
Space group   F-43m
ΔE_f   -0.507 eV per atom

---

No. 4
Computed, not measured: crystalline GeSb3W at its relaxed geometry at the PBE level of DFT.

```
GeSb3W
1.0
5.2592 0.0000 0.0000
0.0000 5.2592 0.0000
0.0000 0.0000 5.2592
Sb Ge W
3 1 1
Direct
0.0000 0.5000 0.0000 Sb
0.0000 0.0000 0.5000 Sb
0.5000 0.0000 0.0000 Sb
0.5000 0.5000 0.5000 Ge
0.0000 0.0000 0.0000 W
```

## Properties
M_tot   1.1 Bohr magnetons per cell
Raw formation energy   0.8221 eV/atom
D(E_F)   0.77 states/eV per atom
Offset from the most stable computed form   0.0000 eV per atom
Space group   Pm-3m

---

No. 5
Computed, not measured: crystalline BeZnSe2 at its relaxed geometry at the PBE level of DFT.

```
BeZnSe2
1.0
1.4741 -11.5015 -12.7985
2.5205 -2.7642 2.7744
-4.8149 4.4960 8.8537
Be Zn Se
4 4 8
Direct
0.4895 0.2358 0.4852 Be
0.5105 0.7642 0.5148 Be
0.0105 0.7358 0.0148 Be
0.9895 0.2642 0.9852 Be
0.2628 0.9677 0.0593 Zn
0.7372 0.0323 0.9407 Zn
0.2372 0.4677 0.4407 Zn
0.7628 0.5323 0.5593 Zn
0.9951 0.0041 0.8296 Se
0.0049 0.9959 0.1704 Se
0.5049 0.5041 0.6704 Se
0.4951 0.4959 0.3296 Se
0.1257 0.8495 0.6728 Se
0.8743 0.1505 0.3272 Se
0.3743 0.3495 0.8272 Se
0.6257 0.6505 0.1728 Se
```

## Properties
M_tot   0.0 Bohr magnetons per cell
Raw formation energy   -0.1251 eV/atom
D(E_F)   0.58 states/eV per atom
Offset from the most stable computed form   0.6207 eV per atom
Space group   P2_1/c

---

No. 6
Computed, not measured: crystalline CaCd2Fe at its relaxed geometry at the PBE level of DFT.

```
CaCd2Fe
1.0
10.0088 0.0216 0.0127
9.4854 3.1942 0.0127
9.4854 1.5648 2.7847
Ca Fe Cd
1 1 2
Direct
0.7577 0.7577 0.7577 Ca
0.5030 0.5030 0.5030 Fe
0.9974 0.9974 0.9974 Cd
0.2419 0.2419 0.2419 Cd
```

## Properties
M_tot   2.3 Bohr magnetons per cell
D(E_F)   0.89 states/eV per atom
Space group   R3m
ΔE_f   0.373 eV per atom

---

No. 7
Computed, not measured: crystalline HfV6Mo2 at its relaxed geometry at the PBE level of DFT.

```
HfV6Mo2
1.0
-1.9771 0.0697 -2.0036
-2.9360 -6.2785 2.6796
-2.3441 6.5746 2.5410
Hf V Mo
1 6 2
Direct
0.0000 0.0000 0.0000 Hf
0.6643 0.0000 0.3496 V
0.3357 0.0000 0.6504 V
0.6646 0.6504 0.6505 V
0.6645 0.3496 0.0001 V
0.3355 0.6504 0.9999 V
0.3354 0.3496 0.3495 V
0.0000 0.3333 0.6667 Mo
0.0000 0.6667 0.3333 Mo
```

## Properties
M_tot   0.0 Bohr magnetons per cell
D(E_F)   1.43 states/eV per atom
Space group   P-31m
ΔE_f   0.026 eV per atom

---

No. 8
Computed, not measured: crystalline NpPa2In at its relaxed geometry at the PBE level of DFT.

```
NpPa2In
1.0
3.7082 0.0000 0.0000
0.0000 3.7082 0.0000
0.0000 0.0000 6.9697
Np Pa In
1 2 1
Direct
0.5000 0.5000 0.0000 Np
0.0000 0.0000 0.7796 Pa
0.0000 0.0000 0.2204 Pa
0.5000 0.5000 0.5000 In
```

## Properties
M_tot   3.9 Bohr magnetons per cell
D(E_F)   2.38 states/eV per atom
Offset from the most stable computed form   0.0652 eV per atom
Space group   P4/mmm
ΔE_f   0.223 eV per atom